The following is a GGA-PBE calculation of an optimized crystal structure of Pa2SbRh2, from Alexandria via LeMat-Bulk.

Results
space group = No. 71
DOS(E_F) = 1.44 states/eV per atom
formation energy from raw total energies = -0.731 eV per atom
magnetic moment = 0.0 μB per cell

Lattice parameters (Å, degrees): 4.696 5.350 5.350 66.23 63.97 63.97
Element x y z (fractional)
Pa 0.809 0.691 0.691
Pa 0.191 0.309 0.309
Sb 0.000 0.000 0.000
Rh 0.500 0.265 0.735
Rh 0.500 0.735 0.265